First-principles (GGA-PBE) data for a geometry-optimized SnPt17 structure, as listed in OQMD.

Lattice parameters (Å, degrees): 5.5684 5.5684 33.6145 90.00 90.00 120.00
Space group P-3m1 (No. 164)
Inequivalent atoms, fractional coordinates:
Sn: 0.3333 0.6667 0.2843 (multiplicity 2)
Pt: 0.0000 0.0000 0.0000 (multiplicity 1)
Pt: 0.0000 0.0000 0.2058 (multiplicity 2)
Pt: 0.0000 0.5000 0.0000 (multiplicity 3)
Pt: 0.0017 0.5009 0.2063 (multiplicity 6)
Pt: 0.1659 0.3319 0.7252 (multiplicity 6)
Pt: 0.1665 0.3329 0.9314 (multiplicity 6)
Pt: 0.1671 0.3342 0.1373 (multiplicity 6)
Pt: 0.3333 0.6667 0.0684 (multiplicity 2)
Pt: 0.3333 0.6667 0.8634 (multiplicity 2)

Calculated values
ρ   12.64 g/cm³
Excess energy over the best structure of this formula in the dataset   0.00 kcal/mol of atoms